Entry from Alexandria via LeMat-Bulk: an optimized crystal structure of Ac5MgZn4 (PBE).

Properties
ΔE_f in eV/atom: -0.2092
Density in g/cm³: 7.64
DOS at the Fermi energy in states/eV/atom: 1.147
Raw total energy in eV/atom: -2.93

abc: 3.9397 3.9397 19.8954
angles: 90.00 90.00 90.00
Closest atoms and distances in Å follow each position.
Atoms (fractional coordinates):
Ac (0.0000, 0.0000, 0.0000)  8 Zn 3.40
Ac (0.0000, 0.0000, 0.1954)  8 Zn 3.39-3.41
Ac (0.0000, 0.0000, 0.3878)  4 Zn 3.36, 4 Mg 3.57
Ac (0.0000, 0.0000, 0.6122)  4 Zn 3.36, 4 Mg 3.57
Ac (0.0000, 0.0000, 0.8046)  8 Zn 3.39-3.41
Mg (0.5000, 0.5000, 0.5000)  8 Ac 3.57, 4 Mg 3.94
Zn (0.5000, 0.5000, 0.0979)  8 Ac 3.39-3.40
Zn (0.5000, 0.5000, 0.2939)  8 Ac 3.36-3.41
Zn (0.5000, 0.5000, 0.7061)  8 Ac 3.36-3.41
Zn (0.5000, 0.5000, 0.9021)  8 Ac 3.39-3.40